Record 1
Here is an optimized crystal structure of TlIn2SnRh from the Alexandria database. Energies are from GGA-PBE.

Cell and atoms, written as extended XYZ:
```
5
Lattice="5.2029 0.0000 0.0000 0.0000 5.2029 0.0000 0.0000 0.0000 5.1099" Properties=species:S:1:pos:R:3 pbc="T T T"
Tl 0.0000 0.0000 0.0000
In 0.0000 2.6014 2.5550
In 2.6014 0.0000 2.5550
Sn 2.6014 2.6014 0.0000
Rh 2.6014 2.6014 2.5550
```

DOS(E_F): 0.731 states/eV/atom
Formation energy: -0.10 eV/atom

=====

Record 2
Here is an optimized crystal structure of TlInSn2Rh from the Alexandria database. Energies are from GGA-PBE.

Cell and atoms, written as extended XYZ:
```
5
Lattice="5.1753 0.0000 0.0000 0.0000 5.1753 0.0000 0.0000 0.0000 5.1925" Properties=species:S:1:pos:R:3 pbc="T T T"
Tl 0.0000 0.0000 0.0000
In 2.5877 2.5877 0.0000
Sn 0.0000 2.5877 2.5963
Sn 2.5877 0.0000 2.5963
Rh 2.5877 2.5877 2.5963
```

Energy relative to the lowest polymorph listed for this composition: 0.00 eV per formula unit
DOS(E_F): 0.639 states/eV/atom
Formation energy: -0.06 eV/atom

=====

Record 3
Here is an optimized crystal structure of TlInSn2Rh from the Alexandria database. Energies are from GGA-PBE.

Cell and atoms, written as extended XYZ:
```
5
Lattice="5.1726 0.0000 0.0000 0.0000 5.1726 0.0000 0.0000 0.0000 5.2849" Properties=species:S:1:pos:R:3 pbc="T T T"
Tl 0.0000 0.0000 0.0000
In 2.5863 2.5863 0.0000
Sn 0.0000 2.5863 2.6424
Sn 2.5863 0.0000 2.6424
Rh 0.0000 0.0000 2.6424
```

Energy relative to the lowest polymorph listed for this composition: 0.41 eV per formula unit
DOS(E_F): 0.722 states/eV/atom
Formation energy: 0.02 eV/atom

=====

Question: Look up the formation energy of the first one.
Answer: -0.10 eV/atom